1.
The following is a GGA-PBE calculation of LiMgCoW after structural relaxation, from OQMD.

Properties
space-group type: No. 216
offset from the most stable computed form: 160 meV per atom
total magnetic moment: 0.00 Bohr magnetons per cell

a = 4.2531 Å, b = 4.2531 Å, c = 4.2531 Å
α = 60.00°, β = 60.00°, γ = 60.00°
Fractional coordinates of all 4 atoms:
Co (0.2500, 0.2500, 0.2500)
Li (0.5000, 0.5000, 0.5000)
Mg (0.7500, 0.7500, 0.7500)
W (0.0000, 0.0000, 0.0000)


2.
The following is a GGA-PBE calculation of LiMgCoW after structural relaxation, from OQMD.

Properties
space-group type: No. 216
offset from the most stable computed form: 0 meV per atom
total magnetic moment: 0.00 Bohr magnetons per cell

a = 4.2170 Å, b = 4.2170 Å, c = 4.2170 Å
α = 60.00°, β = 60.00°, γ = 60.00°
Fractional coordinates of all 4 atoms:
Co (0.2500, 0.2500, 0.2500)
Li (0.7500, 0.7500, 0.7500)
Mg (0.5000, 0.5000, 0.5000)
W (0.0000, 0.0000, 0.0000)


3.
The following is a GGA-PBE calculation of LiCoMo2 after structural relaxation, from OQMD.

Properties
space-group type: No. 216
total magnetic moment: 0.98 Bohr magnetons per cell
total energy: -7.286 eV/atom

a = 4.2420 Å, b = 4.2420 Å, c = 4.2420 Å
α = 60.00°, β = 60.00°, γ = 60.00°
Last column: magnetic moment on the atom in μB.
Fractional coordinates of all 4 atoms:
Co (0.2500, 0.2500, 0.2500)  0.67
Li (0.5000, 0.5000, 0.5000)  -0.01
Mo (0.0000, 0.0000, 0.0000)  -0.04
Mo (0.7500, 0.7500, 0.7500)  0.38


4.
The following is a GGA-PBE calculation of LiCoMoPb after structural relaxation, from OQMD.

Properties
space-group type: No. 216
offset from the most stable computed form: 0 meV per atom
total magnetic moment: 2.00 Bohr magnetons per cell

a = 4.3876 Å, b = 4.3876 Å, c = 4.3876 Å
α = 60.00°, β = 60.00°, γ = 60.00°
Last column: magnetic moment on the atom in μB.
Fractional coordinates of all 4 atoms:
Co (0.7500, 0.7500, 0.7500)  0.82
Li (0.2500, 0.2500, 0.2500)  0.03
Mo (0.5000, 0.5000, 0.5000)  1.11
Pb (0.0000, 0.0000, 0.0000)  -0.04


5.
The following is a GGA-PBE calculation of LiCoMoPb after structural relaxation, from OQMD.

Properties
space-group type: No. 216
offset from the most stable computed form: 252 meV per atom
total magnetic moment: 2.66 Bohr magnetons per cell

a = 4.4914 Å, b = 4.4914 Å, c = 4.4914 Å
α = 60.00°, β = 60.00°, γ = 60.00°
Fractional coordinates of all 4 atoms:
Co (0.7500, 0.7500, 0.7500)
Li (0.5000, 0.5000, 0.5000)
Mo (0.2500, 0.2500, 0.2500)
Pb (0.0000, 0.0000, 0.0000)


6.
The following is a GGA-PBE calculation of LiCoSbMo after structural relaxation, from OQMD.

Properties
space-group type: No. 216
offset from the most stable computed form: 0 meV per atom
total magnetic moment: 2.98 Bohr magnetons per cell

a = 4.3345 Å, b = 4.3345 Å, c = 4.3345 Å
α = 60.00°, β = 60.00°, γ = 60.00°
Last column: magnetic moment on the atom in μB.
Fractional coordinates of all 4 atoms:
Co (0.7500, 0.7500, 0.7500)  1.15
Li (0.2500, 0.2500, 0.2500)  0.06
Mo (0.5000, 0.5000, 0.5000)  1.61
Sb (0.0000, 0.0000, 0.0000)  -0.03


7.
The following is a GGA-PBE calculation of LiCoSnMo after structural relaxation, from OQMD.

Properties
space-group type: No. 216
offset from the most stable computed form: 0 meV per atom
total magnetic moment: 2.02 Bohr magnetons per cell

a = 4.3190 Å, b = 4.3190 Å, c = 4.3190 Å
α = 60.00°, β = 60.00°, γ = 60.00°
Last column: magnetic moment on the atom in μB.
Fractional coordinates of all 4 atoms:
Co (0.7500, 0.7500, 0.7500)  0.86
Li (0.2500, 0.2500, 0.2500)  0.03
Mo (0.5000, 0.5000, 0.5000)  1.07
Sn (0.0000, 0.0000, 0.0000)  -0.05


8.
The following is a GGA-PBE calculation of LiTlCoMo after structural relaxation, from OQMD.

Properties
space-group type: No. 216
offset from the most stable computed form: 391 meV per atom
total magnetic moment: 1.46 Bohr magnetons per cell

a = 4.4531 Å, b = 4.4531 Å, c = 4.4531 Å
α = 60.00°, β = 60.00°, γ = 60.00°
Fractional coordinates of all 4 atoms:
Co (0.7500, 0.7500, 0.7500)
Li (0.5000, 0.5000, 0.5000)
Mo (0.2500, 0.2500, 0.2500)
Tl (0.0000, 0.0000, 0.0000)


9.
The following is a GGA-PBE calculation of LiTlCoMo after structural relaxation, from OQMD.

Properties
space-group type: No. 216
offset from the most stable computed form: 0 meV per atom
total magnetic moment: 1.00 Bohr magnetons per cell

a = 4.3470 Å, b = 4.3470 Å, c = 4.3470 Å
α = 60.00°, β = 60.00°, γ = 60.00°
Last column: magnetic moment on the atom in μB.
Fractional coordinates of all 4 atoms:
Co (0.7500, 0.7500, 0.7500)  0.15
Li (0.2500, 0.2500, 0.2500)  0.02
Mo (0.5000, 0.5000, 0.5000)  0.78
Tl (0.0000, 0.0000, 0.0000)  -0.02


10.
The following is a GGA-PBE calculation of Li2CoN2 after structural relaxation, from OQMD.

Properties
space-group type: No. 127
total magnetic moment: 0.02 Bohr magnetons per cell
total energy: -5.750 eV/atom

a = 4.7350 Å, b = 4.7350 Å, c = 3.4352 Å
α = 90.00°, β = 90.00°, γ = 90.00°
Fractional coordinates of all 10 atoms:
Co (0.0000, 0.0000, 0.0000)
Co (0.5000, 0.5000, 0.0000)
Li (0.6795, 0.1795, 0.5000)
Li (0.1795, 0.3205, 0.5000)
Li (0.8205, 0.6795, 0.5000)
Li (0.3205, 0.8205, 0.5000)
N (0.3918, 0.1082, 0.0000)
N (0.8918, 0.3918, 0.0000)
N (0.1082, 0.6082, 0.0000)
N (0.6082, 0.8918, 0.0000)


11.
The following is a GGA-PBE calculation of Sr2LiCoN2 after structural relaxation, from OQMD.

Properties
space-group type: No. 136
total magnetic moment: 4.00 Bohr magnetons per cell
total energy: -5.359 eV/atom

a = 5.3564 Å, b = 5.3564 Å, c = 7.3081 Å
α = 90.00°, β = 90.00°, γ = 90.00°
Last column: magnetic moment on the atom in μB.
Fractional coordinates of all 12 atoms:
Co (0.0000, 0.0000, 0.0000)  1.55
Co (0.5000, 0.5000, 0.5000)  1.50
Li (0.5000, 0.5000, 0.0000)  0.00
Li (0.0000, 0.0000, 0.5000)  0.01
N (0.7635, 0.2365, 0.0000)  0.17
N (0.2365, 0.7635, 0.0000)  0.17
N (0.2635, 0.2635, 0.5000)  0.15
N (0.7365, 0.7365, 0.5000)  0.15
Sr (0.5000, 0.0000, 0.2500)  0.01
Sr (0.0000, 0.5000, 0.2500)  0.01
Sr (0.5000, 0.0000, 0.7500)  0.01
Sr (0.0000, 0.5000, 0.7500)  0.01


12.
The following is a GGA-PBE calculation of LiZnCo2N after structural relaxation, from OQMD.

Properties
space-group type: No. 123
total magnetic moment: 0.80 Bohr magnetons per cell
total energy: -5.348 eV/atom

a = 3.6599 Å, b = 3.6599 Å, c = 3.9003 Å
α = 90.00°, β = 90.00°, γ = 90.00°
Last column: magnetic moment on the atom in μB.
Fractional coordinates of all 5 atoms:
Co (0.5000, 0.0000, 0.0000)  0.51
Co (0.0000, 0.5000, 0.0000)  0.25
Li (0.0000, 0.0000, 0.5000)  0.00
N (0.0000, 0.0000, 0.0000)  0.07
Zn (0.5000, 0.5000, 0.5000)  -0.02